Arrangement A

! VHO, relaxed, DFT PBE+U; values from VASP
! * total magnetization: 3.999 Bohr magnetons per cell
! * symmetry: C2/m
&SYSTEM
  ibrav = 0, nat = 6, ntyp = 3
/
ATOMIC_SPECIES
V 50.94 V.upf
H 1.01 H.upf
O 16.00 O.upf
CELL_PARAMETERS angstrom
2.428 -1.970 0.000
2.428 1.970 0.000
-0.820 0.000 5.543
ATOMIC_POSITIONS crystal
V 0.147 0.147 0.266
V 0.853 0.853 0.734
H 0.243 0.757 0.000
H 0.757 0.243 0.000
O 0.249 0.249 0.647
O 0.751 0.751 0.353


Arrangement B

! VHO, relaxed, DFT PBE+U; values from VASP
! * total magnetization: 2.000 Bohr magnetons per cell
! * N(E_F): 0.000 states/eV per atom
! * symmetry: F-43m
&SYSTEM
  ibrav = 0, nat = 3, ntyp = 3
/
ATOMIC_SPECIES
V 50.94 V.upf
H 1.01 H.upf
O 16.00 O.upf
CELL_PARAMETERS angstrom
0.000 2.362 2.362
2.362 0.000 2.362
2.362 2.362 0.000
ATOMIC_POSITIONS crystal
V 0.000 0.000 0.000
H 0.250 0.250 0.250
O 0.750 0.750 0.750


Referenced to the most stable arrangement, the calculated values in meV/atom are arrangement A 189; arrangement B 0.


Arrangement A

! HWO, relaxed, DFT PBE+U; values from VASP
! * total magnetization: 1.169 Bohr magnetons per cell
! * N(E_F): 0.108 states/eV per atom
! * symmetry: P4/mmm
&SYSTEM
  ibrav = 0, nat = 3, ntyp = 3
/
ATOMIC_SPECIES
H 1.01 H.upf
W 183.84 W.upf
O 16.00 O.upf
CELL_PARAMETERS angstrom
2.999 0.000 0.000
0.000 2.999 0.000
0.000 0.000 3.857
ATOMIC_POSITIONS crystal
H 0.000 0.000 0.000
W 0.500 0.500 0.000
O 0.500 0.500 0.500


Arrangement B

! HWO, relaxed, DFT PBE+U; values from VASP
! * total magnetization: 1.003 Bohr magnetons per cell
! * symmetry: P1
&SYSTEM
  ibrav = 0, nat = 3, ntyp = 3
/
ATOMIC_SPECIES
H 1.01 H.upf
W 183.84 W.upf
O 16.00 O.upf
CELL_PARAMETERS angstrom
2.934 0.000 0.000
1.457 2.780 0.000
0.002 1.753 4.414
ATOMIC_POSITIONS crystal
H 0.000 0.000 0.000
W 0.746 0.511 0.223
O 0.511 0.981 0.476


Arrangement C

! HWO, relaxed, DFT PBE+U; values from VASP
! * total magnetization: 1.135 Bohr magnetons per cell
! * N(E_F): 0.188 states/eV per atom
! * symmetry: C2
&SYSTEM
  ibrav = 0, nat = 3, ntyp = 3
/
ATOMIC_SPECIES
H 1.01 H.upf
W 183.84 W.upf
O 16.00 O.upf
CELL_PARAMETERS angstrom
1.422 -3.607 0.000
1.422 3.607 0.000
-0.007 0.000 3.041
ATOMIC_POSITIONS crystal
H 0.000 0.000 0.000
W 0.551 0.449 0.500
O 0.266 0.734 0.500


Referenced to the most stable arrangement, the calculated values in meV/atom are arrangement A 6; arrangement B 0; arrangement C 16.


Arrangement A

! HW2O, relaxed, DFT PBE+U; values from VASP
! * total magnetization: 2.858 Bohr magnetons per cell
! * N(E_F): 0.588 states/eV per atom
! * symmetry: I-42d
&SYSTEM
  ibrav = 0, nat = 8, ntyp = 3
/
ATOMIC_SPECIES
H 1.01 H.upf
W 183.84 W.upf
O 16.00 O.upf
CELL_PARAMETERS angstrom
-2.269 2.269 4.686
2.269 -2.269 4.686
2.269 2.269 -4.686
ATOMIC_POSITIONS crystal
H 0.000 0.000 0.000
H 0.750 0.250 0.500
W 0.093 0.625 0.968
W 0.375 0.343 0.468
W 0.657 0.125 0.032
W 0.875 0.907 0.532
O 0.250 0.750 0.500
O 0.500 0.500 0.000


Arrangement B

! HW2O, relaxed, DFT PBE+U; values from VASP
! * total magnetization: 1.435 Bohr magnetons per cell
! * N(E_F): 0.637 states/eV per atom
! * symmetry: Fm-3m
&SYSTEM
  ibrav = 0, nat = 4, ntyp = 3
/
ATOMIC_SPECIES
H 1.01 H.upf
W 183.84 W.upf
O 16.00 O.upf
CELL_PARAMETERS angstrom
0.000 2.836 2.836
2.836 0.000 2.836
2.836 2.836 0.000
ATOMIC_POSITIONS crystal
H 0.000 0.000 0.000
W 0.250 0.250 0.250
W 0.750 0.750 0.750
O 0.500 0.500 0.500


Referenced to the most stable arrangement, the calculated values in meV/atom are arrangement A 0; arrangement B 810.


Arrangement A

! H2W2O7, relaxed, DFT PBE+U; values from VASP
! * total magnetization: 0.000 Bohr magnetons per cell
! * N(E_F): 0.000 states/eV per atom
! * symmetry: P1
&SYSTEM
  ibrav = 0, nat = 22, ntyp = 3
/
ATOMIC_SPECIES
H 1.01 H.upf
W 183.84 W.upf
O 16.00 O.upf
CELL_PARAMETERS angstrom
6.904 0.000 0.000
-2.096 6.749 0.000
-0.396 -2.838 6.728
ATOMIC_POSITIONS crystal
H 0.000 0.000 0.000
H 0.017 0.738 0.525
H 0.322 0.517 0.033
H 0.584 0.251 0.746
W 0.081 0.328 0.350
W 0.607 0.826 0.991
W 0.626 0.463 0.494
W 0.739 0.964 0.539
O 0.138 0.407 0.148
O 0.143 0.577 0.555
O 0.349 0.282 0.394
O 0.415 0.930 0.959
O 0.438 0.543 0.958
O 0.524 0.670 0.456
O 0.609 0.201 0.609
O 0.622 0.908 0.268
O 0.703 0.613 0.766
O 0.740 0.993 0.799
O 0.778 0.323 0.326
O 0.874 0.734 0.485
O 0.927 0.995 0.110
O 0.987 0.143 0.526


Arrangement B

! H2W2O7, relaxed, DFT PBE+U; values from VASP
! * total magnetization: 0.193 Bohr magnetons per cell
! * symmetry: I4_1/amd
&SYSTEM
  ibrav = 0, nat = 22, ntyp = 3
/
ATOMIC_SPECIES
H 1.01 H.upf
W 183.84 W.upf
O 16.00 O.upf
CELL_PARAMETERS angstrom
-3.693 3.693 5.177
3.693 -3.693 5.177
3.693 3.693 -5.177
ATOMIC_POSITIONS crystal
H 0.283 0.533 0.750
H 0.467 0.717 0.750
H 0.533 0.283 0.250
H 0.717 0.467 0.250
W 0.000 0.000 0.000
W 0.000 0.000 0.500
W 0.000 0.500 0.000
W 0.500 0.000 0.500
O 0.056 0.306 0.113
O 0.056 0.944 0.750
O 0.062 0.312 0.750
O 0.306 0.056 0.613
O 0.306 0.694 0.250
O 0.312 0.062 0.250
O 0.375 0.625 0.750
O 0.625 0.375 0.250
O 0.688 0.938 0.750
O 0.694 0.306 0.750
O 0.694 0.944 0.387
O 0.938 0.688 0.250
O 0.944 0.056 0.250
O 0.944 0.694 0.887


Referenced to the most stable arrangement, the calculated values in meV/atom are arrangement A 26; arrangement B 0.


Arrangement A

! H2W2O7, relaxed, DFT PBE+U; values from VASP
! * total magnetization: 0.000 Bohr magnetons per cell
! * symmetry: Ima2
&SYSTEM
  ibrav = 0, nat = 22, ntyp = 3
/
ATOMIC_SPECIES
H 1.01 H.upf
W 183.84 W.upf
O 16.00 O.upf
CELL_PARAMETERS angstrom
-3.596 4.841 3.790
3.596 -4.841 3.790
3.596 4.841 -3.790
ATOMIC_POSITIONS crystal
H 0.056 0.250 0.306
H 0.509 0.921 0.088
H 0.834 0.421 0.912
H 0.944 0.750 0.694
W 0.029 0.016 0.513
W 0.481 0.481 0.000
W 0.481 0.981 0.500
W 0.502 0.516 0.487
O 0.153 0.326 0.829
O 0.153 0.824 0.327
O 0.164 0.257 0.407
O 0.302 0.085 0.717
O 0.368 0.585 0.283
O 0.456 0.813 0.143
O 0.497 0.324 0.171
O 0.497 0.826 0.673
O 0.539 0.247 0.461
O 0.539 0.578 0.792
O 0.670 0.313 0.857
O 0.786 0.078 0.539
O 0.786 0.747 0.208
O 0.851 0.757 0.593


Arrangement B

! H2W2O7, relaxed, DFT PBE+U; values from VASP
! * total magnetization: 0.116 Bohr magnetons per cell
! * N(E_F): 0.000 states/eV per atom
! * symmetry: Fdd2
&SYSTEM
  ibrav = 0, nat = 22, ntyp = 3
/
ATOMIC_SPECIES
H 1.01 H.upf
W 183.84 W.upf
O 16.00 O.upf
CELL_PARAMETERS angstrom
0.000 5.214 5.213
5.206 0.000 5.213
5.206 5.214 0.000
ATOMIC_POSITIONS crystal
H 0.396 0.604 0.504
H 0.604 0.396 0.496
H 0.746 0.754 0.854
H 0.754 0.746 0.646
W 0.177 0.188 0.067
W 0.183 0.681 0.073
W 0.188 0.177 0.569
W 0.681 0.183 0.062
O 0.126 0.493 0.009
O 0.127 0.127 0.373
O 0.127 0.491 0.375
O 0.241 0.878 0.124
O 0.243 0.243 0.757
O 0.244 0.875 0.759
O 0.491 0.127 0.006
O 0.493 0.126 0.372
O 0.493 0.493 0.007
O 0.557 0.557 0.443
O 0.807 0.807 0.693
O 0.875 0.244 0.123
O 0.877 0.877 0.123
O 0.878 0.241 0.757


Arrangement C

! H2W2O7, relaxed, DFT PBE+U; values from VASP
! * total magnetization: 0.000 Bohr magnetons per cell
! * symmetry: I4_1/amd
&SYSTEM
  ibrav = 0, nat = 22, ntyp = 3
/
ATOMIC_SPECIES
H 1.01 H.upf
W 183.84 W.upf
O 16.00 O.upf
CELL_PARAMETERS angstrom
-3.636 3.636 4.848
3.636 -3.636 4.848
3.636 3.636 -4.848
ATOMIC_POSITIONS crystal
H 0.041 0.291 0.750
H 0.291 0.041 0.250
H 0.709 0.959 0.750
H 0.959 0.709 0.250
W 0.000 0.500 0.500
W 0.500 0.000 0.000
W 0.500 0.500 0.000
W 0.500 0.500 0.500
O 0.142 0.392 0.750
O 0.157 0.407 0.315
O 0.157 0.843 0.750
O 0.375 0.625 0.750
O 0.392 0.142 0.250
O 0.407 0.157 0.815
O 0.407 0.593 0.250
O 0.593 0.407 0.750
O 0.593 0.843 0.185
O 0.608 0.858 0.750
O 0.625 0.375 0.250
O 0.843 0.157 0.250
O 0.843 0.593 0.685
O 0.858 0.608 0.250


Referenced to the most stable arrangement, the calculated values in meV/atom are arrangement A 209; arrangement B 0; arrangement C 385.